1.
First-principles (PBE) data for CdPt2Cl after structural relaxation, as listed in Alexandria.

Structure (CIF):
```
data_CdPt2Cl
_chemical_formula_sum 'Cd2 Pt4 Cl2'
_space_group_name_H-M_alt 'C m m m'
_space_group_IT_number 65
_space_group_name_Hall '-C 2 2'
_cell_length_a 5.690
_cell_length_b 8.563
_cell_length_c 2.907
_cell_angle_alpha 90.00
_cell_angle_beta 90.00
_cell_angle_gamma 90.00
loop_
_atom_site_label
_atom_site_type_symbol
_atom_site_fract_x
_atom_site_fract_y
_atom_site_fract_z
Cd1 Cd 0.000 0.000 0.000
Pt1 Pt 0.250 0.250 0.500
Cl1 Cl 0.000 0.500 0.000
```

VASP energy: -3.386 eV per atom
Uncorrected formation energy: 7.49 kcal/mol of atoms
D(E_F): 3.6 states/eV/f.u.

***

2.
First-principles (PBE) data for Cd2PtCl after structural relaxation, as listed in Alexandria.

Structure (CIF):
```
data_Cd2PtCl
_chemical_formula_sum 'Cd6 Pt3 Cl3'
_space_group_name_H-M_alt 'R -3 m'
_space_group_IT_number 166
_space_group_name_Hall '-R 3 2"'
_cell_length_a 3.4529
_cell_length_b 3.4529
_cell_length_c 24.5816
_cell_angle_alpha 90.00
_cell_angle_beta 90.00
_cell_angle_gamma 120.00
loop_
_atom_site_label
_atom_site_type_symbol
_atom_site_fract_x
_atom_site_fract_y
_atom_site_fract_z
Cd1 Cd 0.0000 0.0000 0.2449
Pt1 Pt 0.0000 0.0000 0.5000
Cl1 Cl 0.0000 0.0000 0.0000
```

VASP energy: -2.722 eV per atom
Uncorrected formation energy: -6.76 kcal/mol of atoms
D(E_F): 0.9 states/eV/f.u.

***

3.
First-principles (PBE) data for CdPt2Cl after structural relaxation, as listed in Alexandria.

Structure (CIF):
```
data_CdPt2Cl
_chemical_formula_sum 'Cd2 Pt4 Cl2'
_space_group_name_H-M_alt 'C 1 m 1'
_space_group_IT_number 8
_cell_length_a 8.887
_cell_length_b 3.077
_cell_length_c 6.689
_cell_angle_alpha 90.00
_cell_angle_beta 95.96
_cell_angle_gamma 90.00
loop_
_space_group_symop_operation_xyz
'x,y,z'
'x,-y,z'
'x+1/2,y+1/2,z'
'x+1/2,-y+1/2,z'
loop_
_atom_site_label
_atom_site_type_symbol
_atom_site_fract_x
_atom_site_fract_y
_atom_site_fract_z
Cd1 Cd 0.000 0.000 0.000
Pt1 Pt 0.222 0.500 0.233
Pt2 Pt 0.456 0.000 0.348
Cl1 Cl 0.384 0.000 0.700
```

VASP energy: -3.712 eV per atom
Uncorrected formation energy: -0.03 kcal/mol of atoms
D(E_F): 4.6 states/eV/f.u.

***

4.
First-principles (PBE) data for Cd2PtCl after structural relaxation, as listed in Alexandria.

Structure (CIF):
```
data_Cd2PtCl
_chemical_formula_sum 'Cd4 Pt2 Cl2'
_space_group_name_H-M_alt 'C 1 2/m 1'
_space_group_IT_number 12
_cell_length_a 7.443
_cell_length_b 3.201
_cell_length_c 8.512
_cell_angle_alpha 90.00
_cell_angle_beta 113.93
_cell_angle_gamma 90.00
loop_
_space_group_symop_operation_xyz
'x,y,z'
'-x,-y,-z'
'-x,y,-z'
'x,-y,z'
'x+1/2,y+1/2,z'
'-x+1/2,-y+1/2,-z'
'-x+1/2,y+1/2,-z'
'x+1/2,-y+1/2,z'
loop_
_atom_site_label
_atom_site_type_symbol
_atom_site_fract_x
_atom_site_fract_y
_atom_site_fract_z
Cd1 Cd 0.199 0.000 0.286
Pt1 Pt 0.000 0.000 0.500
Cl1 Cl 0.000 0.500 0.000
```

VASP energy: -2.745 eV per atom
Uncorrected formation energy: -7.28 kcal/mol of atoms
D(E_F): 1.1 states/eV/f.u.

***

5.
First-principles (PBE) data for CdPt2Cl after structural relaxation, as listed in Alexandria.

Structure (CIF):
```
data_CdPt2Cl
_chemical_formula_sum 'Cd4 Pt8 Cl4'
_space_group_name_H-M_alt 'F m -3 m'
_space_group_IT_number 225
_space_group_name_Hall '-F 4 2 3'
_cell_length_a 6.570
_cell_length_b 6.570
_cell_length_c 6.570
_cell_angle_alpha 90.00
_cell_angle_beta 90.00
_cell_angle_gamma 90.00
loop_
_atom_site_label
_atom_site_type_symbol
_atom_site_fract_x
_atom_site_fract_y
_atom_site_fract_z
Cd1 Cd 0.000 0.000 0.000
Pt1 Pt 0.250 0.250 0.250
Cl1 Cl 0.000 0.000 0.500
```

VASP energy: -3.318 eV per atom
Uncorrected formation energy: 9.07 kcal/mol of atoms
D(E_F): 13.9 states/eV/f.u.

***

6.
First-principles (PBE) data for Cd2PtCl after structural relaxation, as listed in Alexandria.

Structure (CIF):
```
data_Cd2PtCl
_chemical_formula_sum 'Cd2 Pt1 Cl1'
_space_group_name_H-M_alt 'P 4 m m'
_space_group_IT_number 99
_cell_length_a 3.165
_cell_length_b 3.165
_cell_length_c 8.472
_cell_angle_alpha 90.00
_cell_angle_beta 90.00
_cell_angle_gamma 90.00
loop_
_space_group_symop_operation_xyz
'x,y,z'
'-y,x,z'
'-x,-y,z'
'y,-x,z'
'-x,y,z'
'y,x,z'
'x,-y,z'
'-y,-x,z'
loop_
_atom_site_label
_atom_site_type_symbol
_atom_site_fract_x
_atom_site_fract_y
_atom_site_fract_z
Cd1 Cd 0.000 0.000 0.000
Cd2 Cd 0.500 0.500 0.281
Pt1 Pt 0.500 0.500 0.803
Cl1 Cl 0.000 0.000 0.484
```

VASP energy: -2.437 eV per atom
Uncorrected formation energy: -0.18 kcal/mol of atoms
D(E_F): 2.2 states/eV/f.u.

***

7.
First-principles (PBE) data for CdPt2Cl after structural relaxation, as listed in Alexandria.

Structure (CIF):
```
data_CdPt2Cl
_chemical_formula_sum 'Cd1 Pt2 Cl1'
_space_group_name_H-M_alt 'P 1 m 1'
_space_group_IT_number 6
_cell_length_a 3.573
_cell_length_b 3.463
_cell_length_c 7.037
_cell_angle_alpha 90.00
_cell_angle_beta 90.03
_cell_angle_gamma 90.00
loop_
_space_group_symop_operation_xyz
'x,y,z'
'x,-y,z'
loop_
_atom_site_label
_atom_site_type_symbol
_atom_site_fract_x
_atom_site_fract_y
_atom_site_fract_z
Cd1 Cd 0.000 0.000 0.000
Pt1 Pt 0.016 0.000 0.378
Pt2 Pt 0.515 0.500 0.260
Cl1 Cl 0.018 0.500 0.726
```

VASP energy: -3.751 eV per atom
Uncorrected formation energy: -0.92 kcal/mol of atoms
D(E_F): 1.9 states/eV/f.u.

***

8.
First-principles (PBE) data for Cd2PtCl after structural relaxation, as listed in Alexandria.

Structure (CIF):
```
data_Cd2PtCl
_chemical_formula_sum 'Cd8 Pt4 Cl4'
_space_group_name_H-M_alt 'I -4 2 d'
_space_group_IT_number 122
_space_group_name_Hall 'I -4 2bw'
_cell_length_a 7.229
_cell_length_b 7.229
_cell_length_c 7.205
_cell_angle_alpha 90.00
_cell_angle_beta 90.00
_cell_angle_gamma 90.00
loop_
_atom_site_label
_atom_site_type_symbol
_atom_site_fract_x
_atom_site_fract_y
_atom_site_fract_z
Cd1 Cd 0.245 0.750 0.125
Pt1 Pt 0.000 0.000 0.000
Cl1 Cl 0.000 0.000 0.500
```

VASP energy: -2.531 eV per atom
Uncorrected formation energy: -2.33 kcal/mol of atoms
D(E_F): 1.3 states/eV/f.u.